# PuPaZnFe PBE relaxed
# energy of formation	0.0957	eV per atom
# DOS at the Fermi energy	26.93	states/eV/cell
# calculated total energy	-8.295	eV per atom
data_PuPaZnFe
_chemical_formula_sum 'Pu4 Pa4 Zn4 Fe4'
_symmetry_space_group_name_H-M 'F -4 3 m'
_symmetry_Int_Tables_number 216
_symmetry_space_group_name_Hall 'F -4 2 3'
_cell_length_a 6.845
_cell_length_b 6.845
_cell_length_c 6.845
_cell_angle_alpha 90.00
_cell_angle_beta 90.00
_cell_angle_gamma 90.00
loop_
_atom_site_label
_atom_site_fract_x
_atom_site_fract_y
_atom_site_fract_z
Pu1 0.000 0.000 0.000
Pa1 0.000 0.000 0.500
Zn1 0.250 0.250 0.250
Fe1 0.250 0.250 0.750